Computed, not measured: crystalline Cs3SmS3 at its relaxed geometry at the PBE level of DFT.

Cell lengths 8.744, 14.957, 11.260 Å; angles 90.00, 127.49, 90.00 degrees
Sites, in units of the cell vectors:
1 Cs 0.114 0.124 0.474
2 Cs 0.114 0.376 0.974
3 Cs 0.168 0.114 0.883
4 Cs 0.168 0.386 0.383
5 Cs 0.323 0.670 0.538
6 Cs 0.323 0.830 0.038
7 Cs 0.677 0.170 0.962
8 Cs 0.677 0.330 0.462
9 Cs 0.832 0.614 0.617
10 Cs 0.832 0.886 0.117
11 Cs 0.886 0.624 0.026
12 Cs 0.886 0.876 0.526
13 Sm 0.450 0.069 0.339
14 Sm 0.450 0.431 0.839
15 Sm 0.550 0.569 0.161
16 Sm 0.550 0.931 0.661
17 S 0.185 0.195 0.201
18 S 0.185 0.305 0.701
19 S 0.328 0.592 0.862
20 S 0.328 0.908 0.362
21 S 0.360 0.543 0.271
22 S 0.360 0.957 0.771
23 S 0.640 0.043 0.229
24 S 0.640 0.457 0.729
25 S 0.672 0.092 0.638
26 S 0.672 0.408 0.138
27 S 0.815 0.695 0.299
28 S 0.815 0.805 0.799

Output
- E_form (uncorrected): -1437 meV/atom
- Mass density: 3.668 g/cm3
- Total magnetic moment: 0.0 μB/f.u.

---

Computed, not measured: crystalline CsSmS2 at its relaxed geometry at the PBE level of DFT.

Cell lengths 8.444, 8.444, 8.444 Å; angles 28.79, 28.79, 28.79 degrees
Sites, in units of the cell vectors:
1 Cs 0.000 0.000 0.000
2 Sm 0.500 0.500 0.500
3 S 0.228 0.228 0.228
4 S 0.772 0.772 0.772

Output
- E_form (uncorrected): -1820 meV/atom
- Mass density: 4.671 g/cm3
- Total magnetic moment: 0.0 μB/f.u.

---

Computed, not measured: crystalline CsSmS2 at its relaxed geometry at the PBE level of DFT.

Cell lengths 8.522, 8.522, 8.522 Å; angles 28.42, 28.42, 28.42 degrees
Sites, in units of the cell vectors:
1 Cs 0.000 0.000 0.000
2 Sm 0.169 0.169 0.169
3 S 0.564 0.564 0.564
4 S 0.774 0.774 0.774

Output
- E_form (uncorrected): -1802 meV/atom
- Mass density: 4.658 g/cm3
- Total magnetic moment: 0.0 μB/f.u.

---

Computed, not measured: crystalline Cs3Sm3SnS8 at its relaxed geometry at the PBE level of DFT.

Cell lengths 9.519, 9.519, 9.519 Å; angles 50.93, 50.93, 50.93 degrees
Sites, in units of the cell vectors:
1 Cs 0.000 0.500 0.500
2 Cs 0.500 0.000 0.500
3 Cs 0.500 0.500 0.000
4 Sm 0.000 0.000 0.500
5 Sm 0.000 0.500 0.000
6 Sm 0.500 0.000 0.000
7 Sn 0.500 0.500 0.500
8 S 0.228 0.228 0.228
9 S 0.247 0.715 0.715
10 S 0.285 0.285 0.753
11 S 0.285 0.753 0.285
12 S 0.715 0.247 0.715
13 S 0.715 0.715 0.247
14 S 0.753 0.285 0.285
15 S 0.772 0.772 0.772

Output
- E_form (uncorrected): -1521 meV/atom
- Mass density: 4.243 g/cm3
- Total magnetic moment: 0.0 μB/f.u.

---

Computed, not measured: crystalline CsSmSnS4 at its relaxed geometry at the PBE level of DFT.

Cell lengths 6.862, 7.038, 9.641 Å; angles 90.00, 108.15, 90.00 degrees
Sites, in units of the cell vectors:
1 Cs 0.236 0.250 0.441
2 Cs 0.764 0.750 0.559
3 Sm 0.286 0.250 0.952
4 Sm 0.714 0.750 0.048
5 Sn 0.261 0.750 0.159
6 Sn 0.739 0.250 0.841
7 S 0.029 0.750 0.917
8 S 0.053 0.750 0.316
9 S 0.493 0.507 0.809
10 S 0.493 0.993 0.809
11 S 0.507 0.007 0.191
12 S 0.507 0.493 0.191
13 S 0.947 0.250 0.684
14 S 0.971 0.250 0.083

Output
- E_form (uncorrected): -1228 meV/atom
- Mass density: 3.980 g/cm3
- Total magnetic moment: 0.0 μB/f.u.

---

Computed, not measured: crystalline Cs2SmSn2S6 at its relaxed geometry at the PBE level of DFT.

Cell lengths 7.540, 7.540, 8.604 Å; angles 115.87, 115.87, 60.85 degrees
Sites, in units of the cell vectors:
1 Cs 0.209 0.209 0.195
2 Cs 0.791 0.791 0.805
3 Sm 0.000 0.000 0.500
4 Sn 0.455 0.455 0.797
5 Sn 0.545 0.545 0.203
6 S 0.190 0.711 0.222
7 S 0.242 0.242 0.633
8 S 0.289 0.810 0.778
9 S 0.711 0.190 0.222
10 S 0.758 0.758 0.367
11 S 0.810 0.289 0.778

Output
- E_form (uncorrected): -923 meV/atom
- Mass density: 3.812 g/cm3
- Total magnetic moment: 0.0 μB/f.u.